Entry 1:
HgTe2RhN: single point on PBEsol structure, meta-GGA SCAN.

The energy relative to the elements, uncorrected comes out at 30.78 kJ per mole of atoms.

Unit cell a=5.493 b=5.493 c=3.589 alpha=90.00 beta=90.00 gamma=90.00
Sites, in units of the cell vectors:
Hg 0.000 0.000 0.000
Te 0.000 0.500 0.500
Te 0.500 0.000 0.500
Rh 0.500 0.500 0.500
N 0.500 0.500 0.000

---

Entry 2:
HgRuS2N: single point on PBEsol structure, meta-GGA SCAN.

The energy relative to the elements, uncorrected comes out at 38.80 kJ per mole of atoms.

Unit cell a=4.804 b=4.804 c=3.617 alpha=90.00 beta=90.00 gamma=90.00
Sites, in units of the cell vectors:
Hg 0.000 0.000 0.000
Ru 0.500 0.500 0.500
S 0.000 0.500 0.500
S 0.500 0.000 0.500
N 0.500 0.500 0.000

---

- Look up the energy relative to the elements, uncorrected of the first one.
  30.78 kJ per mole of atoms